Record 1
Density functional theory data (PBE) for KC3Br after structural relaxation.

## Properties
As for the space-group type: Pm-3m, No. 221. As for the total magnetization: 6.00 Bohr magnetons per cell. The calculation puts the offset from the most stable computed form at 761 meV per atom.

a b c (Å): 5.464 5.464 5.464
angles (deg): 90.00 90.00 90.00
Atoms (fractional coordinates):
K  0.000  0.000  0.000
C  0.000  0.000  0.500
C  0.000  0.500  0.000
C  0.500  0.000  0.000
Br  0.500  0.500  0.500

---

Record 2
Density functional theory data (PBE) for K2CrInOs after structural relaxation.

## Properties
As for the space-group type: P4/mmm, No. 123. As for the total magnetization: 2.60 Bohr magnetons per cell. The calculation puts the offset from the most stable computed form at 0 meV per atom. As for the energy of formation from the pure elements: 1.221 eV per atom.

a b c (Å): 6.274 6.274 4.432
angles (deg): 90.00 90.00 90.00
Atoms (fractional coordinates):
K  0.000  0.500  0.000
K  0.500  0.000  0.000
Cr  0.000  0.000  0.000
In  0.500  0.500  0.500
Os  0.000  0.000  0.500

---

Among the records above, which one has the highest offset from the most stable computed form?
KC3Br

---

The lowest offset from the most stable computed form belongs to which entry?
K2CrInOs